# 1
Compound: CdTc2Ni
Source: Alexandria
Functional: PBE-GGA
Structure: optimized geometry

Output
**Final energy**: -6.59 eV/atom
**Energy relative to the elements**: 0.269 eV/atom

Cell and atoms, written as CIF:
```
data_CdTc2Ni
_chemical_formula_sum 'Cd2 Tc4 Ni2'
_cell_length_a 10.9517
_cell_length_b 2.7369
_cell_length_c 4.4276
_cell_angle_alpha 90.00
_cell_angle_beta 113.67
_cell_angle_gamma 90.00
_symmetry_space_group_name_H-M 'C 1 2/m 1'
_symmetry_Int_Tables_number 12
_symmetry_space_group_name_Hall '-C 2y'
loop_
_atom_site_label
_atom_site_type_symbol
_atom_site_fract_x
_atom_site_fract_y
_atom_site_fract_z
Cd1 Cd 0.0000 0.0000 0.0000
Tc1 Tc 0.2144 0.0000 0.7146
Ni1 Ni 0.0000 0.5000 0.5000
```

---

# 2
Compound: CdTc3Ni
Source: Alexandria
Functional: PBE-GGA
Structure: optimized geometry

Output
**Relative energy among the computed polymorphs**: 0 meV/atom
**Final energy**: -6.19 eV/atom
**Energy relative to the elements**: 1.371 eV/atom

Cell and atoms, written as CIF:
```
data_CdTc3Ni
_chemical_formula_sum 'Cd1 Tc3 Ni1'
_cell_length_a 4.4715
_cell_length_b 4.4715
_cell_length_c 4.4715
_cell_angle_alpha 90.00
_cell_angle_beta 90.00
_cell_angle_gamma 90.00
_symmetry_space_group_name_H-M 'P m -3 m'
_symmetry_Int_Tables_number 221
_symmetry_space_group_name_Hall '-P 4 2 3'
loop_
_atom_site_label
_atom_site_type_symbol
_atom_site_fract_x
_atom_site_fract_y
_atom_site_fract_z
Cd1 Cd 0.0000 0.0000 0.0000
Tc1 Tc 0.0000 0.5000 0.5000
Ni1 Ni 0.5000 0.5000 0.5000
```

---

# 3
Compound: CdTc2Ni
Source: Alexandria
Functional: PBE-GGA
Structure: optimized geometry

Output
**Final energy**: -6.44 eV/atom
**Energy relative to the elements**: 0.415 eV/atom

Cell and atoms, written as CIF:
```
data_CdTc2Ni
_chemical_formula_sum 'Cd4 Tc8 Ni4'
_cell_length_a 6.2275
_cell_length_b 6.2275
_cell_length_c 6.2275
_cell_angle_alpha 90.00
_cell_angle_beta 90.00
_cell_angle_gamma 90.00
_symmetry_space_group_name_H-M 'F -4 3 m'
_symmetry_Int_Tables_number 216
_symmetry_space_group_name_Hall 'F -4 2 3'
loop_
_atom_site_label
_atom_site_type_symbol
_atom_site_fract_x
_atom_site_fract_y
_atom_site_fract_z
Cd1 Cd 0.0000 0.0000 0.0000
Tc1 Tc 0.0000 0.0000 0.5000
Tc2 Tc 0.2500 0.2500 0.7500
Ni1 Ni 0.2500 0.2500 0.2500
```

---

# 4
Compound: CdTc3Ni
Source: Alexandria
Functional: PBE-GGA
Structure: optimized geometry

Output
**Relative energy among the computed polymorphs**: 1529 meV/atom
**Final energy**: -4.66 eV/atom
**Energy relative to the elements**: 2.900 eV/atom

Cell and atoms, written as CIF:
```
data_CdTc3Ni
_chemical_formula_sum 'Cd1 Tc3 Ni1'
_cell_length_a 4.7855
_cell_length_b 4.7855
_cell_length_c 4.7855
_cell_angle_alpha 90.00
_cell_angle_beta 90.00
_cell_angle_gamma 90.00
_symmetry_space_group_name_H-M 'P m -3 m'
_symmetry_Int_Tables_number 221
_symmetry_space_group_name_Hall '-P 4 2 3'
loop_
_atom_site_label
_atom_site_type_symbol
_atom_site_fract_x
_atom_site_fract_y
_atom_site_fract_z
Cd1 Cd 0.0000 0.0000 0.0000
Tc1 Tc 0.0000 0.0000 0.5000
Ni1 Ni 0.5000 0.5000 0.5000
```

---

# 5
Compound: CdTc2Ni2
Source: Alexandria
Functional: PBE-GGA
Structure: optimized geometry

Output
**Relative energy among the computed polymorphs**: 37 meV/atom
**Final energy**: -6.31 eV/atom
**Energy relative to the elements**: 0.335 eV/atom

Cell and atoms, written as CIF:
```
data_CdTc2Ni2
_chemical_formula_sum 'Cd2 Tc4 Ni4'
_cell_length_a 3.5821
_cell_length_b 3.5821
_cell_length_c 11.8405
_cell_angle_alpha 90.00
_cell_angle_beta 90.00
_cell_angle_gamma 90.00
_symmetry_space_group_name_H-M 'I 4/m m m'
_symmetry_Int_Tables_number 139
_symmetry_space_group_name_Hall '-I 4 2'
loop_
_atom_site_label
_atom_site_type_symbol
_atom_site_fract_x
_atom_site_fract_y
_atom_site_fract_z
Cd1 Cd 0.0000 0.0000 0.0000
Tc1 Tc 0.0000 0.5000 0.2500
Ni1 Ni 0.0000 0.0000 0.4024
```

---

# 6
Compound: CdTc2Ni
Source: Alexandria
Functional: PBE-GGA
Structure: optimized geometry

Output
**Final energy**: -6.53 eV/atom
**Energy relative to the elements**: 0.328 eV/atom

Cell and atoms, written as CIF:
```
data_CdTc2Ni
_chemical_formula_sum 'Cd1 Tc2 Ni1'
_cell_length_a 2.7395
_cell_length_b 4.0698
_cell_length_c 5.4730
_cell_angle_alpha 90.00
_cell_angle_beta 90.00
_cell_angle_gamma 90.00
_symmetry_space_group_name_H-M 'P m m m'
_symmetry_Int_Tables_number 47
_symmetry_space_group_name_Hall '-P 2 2'
loop_
_atom_site_label
_atom_site_type_symbol
_atom_site_fract_x
_atom_site_fract_y
_atom_site_fract_z
Cd1 Cd 0.0000 0.0000 0.0000
Tc1 Tc 0.5000 0.5000 0.2921
Ni1 Ni 0.0000 0.0000 0.5000
```